(1)
Entry from Alexandria via LeMat-Bulk: Ca2V2Hg after structural relaxation (PBE).

Lattice parameters (Å, degrees): 10.669 10.669 10.669 161.80 161.80 25.84
Fractional positions:
Ca1 0.109 0.109 0.000
Ca2 0.891 0.891 0.000
V1 0.250 0.750 0.500
V2 0.750 0.250 0.500
Hg1 0.500 0.500 0.000

Values from the calculation:
Total magnetic moment in Bohr magnetons per cell: 0.000
Formation enthalpy at 0 K in eV/f.u.: 1.42
Theoretical density in g/cm3: 5.37
Excess energy over the best structure of this formula in the dataset in meV/atom: 0
Final energy in eV per cell: -21.1

(2)
Entry from Alexandria via LeMat-Bulk: Ca3VHg after structural relaxation (PBE).

Lattice parameters (Å, degrees): 5.770 5.770 5.770 90.00 90.00 90.00
Fractional positions:
Ca1 0.000 0.000 0.500
Ca2 0.000 0.500 0.000
Ca3 0.500 0.000 0.000
V1 0.500 0.500 0.500
Hg1 0.000 0.000 0.000

Values from the calculation:
Total magnetic moment in Bohr magnetons per cell: 4.247
Formation enthalpy at 0 K in eV/f.u.: 2.55
Theoretical density in g/cm3: 3.21
Excess energy over the best structure of this formula in the dataset in meV/atom: 0
Final energy in eV per cell: -12.9

(3)
Entry from Alexandria via LeMat-Bulk: CaVHg2 after structural relaxation (PBE).

Lattice parameters (Å, degrees): 10.322 10.322 10.322 153.30 153.30 38.11
Fractional positions:
Ca1 0.000 0.000 0.000
Ca2 0.750 0.250 0.500
V1 0.250 0.750 0.500
V2 0.500 0.500 0.000
Hg1 0.189 0.625 0.064
Hg2 0.375 0.439 0.564
Hg3 0.561 0.125 0.936
Hg4 0.875 0.811 0.436

Values from the calculation:
Total magnetic moment in Bohr magnetons per cell: 7.366
Formation enthalpy at 0 K in eV/f.u.: 1.43
Theoretical density in g/cm3: 7.38
Final energy in eV per cell: -20.6

(4)
Entry from Alexandria via LeMat-Bulk: CaVHg3 after structural relaxation (PBE).

Lattice parameters (Å, degrees): 5.244 5.244 5.244 90.00 90.00 90.00
Fractional positions:
Ca1 0.000 0.000 0.000
V1 0.500 0.500 0.500
Hg1 0.000 0.500 0.500
Hg2 0.500 0.000 0.500
Hg3 0.500 0.500 0.000

Values from the calculation:
Total magnetic moment in Bohr magnetons per cell: 3.035
Formation enthalpy at 0 K in eV/f.u.: 1.00
Theoretical density in g/cm3: 7.98
Excess energy over the best structure of this formula in the dataset in meV/atom: 0
Final energy in eV per cell: -11.0

- Which of these has the highest total magnetic moment?
  CaVHg2